! Pu5ThTe6 | Alexandria | PBE | optimized geometry; values from VASP
&SYSTEM
  ibrav = 0, nat = 12, ntyp = 3
/
ATOMIC_SPECIES
Pu 244.00 Pu.upf
Th 232.04 Th.upf
Te 127.60 Te.upf
ATOMIC_POSITIONS angstrom
Pu 0.000 0.000 0.000
Pu 2.569 4.411 3.638
Pu 3.838 2.179 0.000
Pu 3.838 -2.179 0.000
Pu 2.569 -4.411 3.638
Th 2.569 0.000 3.638
Te 1.268 2.229 1.804
Te -0.017 0.000 5.460
Te 1.268 -2.229 1.804
Te 3.869 2.229 5.473
Te 5.154 0.000 1.817
Te 3.869 -2.229 5.473
CELL_PARAMETERS angstrom
3.838 -6.623 0.000
3.838 6.623 0.000
-2.538 0.000 7.277
! Spin magnetization (μB/atom): 0.4843
! Crystal system: monoclinic
! Uncorrected energy (eV/atom): -9.22
! Energy relative to the elements, uncorrected (eV per atom): -1.06
! Symmetry: C2/m, No. 12